Here is Tb3Er2Sn2 after structural relaxation from Alexandria via LeMat-Bulk. Energies are from PBE-GGA.

Cell lengths 3.482, 7.868, 8.789 Å; angles 118.73, 101.42, 90.00 degrees
Site moments in Bohr magnetons follow the coordinates.
Fractional positions:
Sn (0.580, 0.891, 0.161)  0.00
Sn (0.420, 0.109, 0.839)  0.00
Tb (0.000, 0.500, 0.000)  0.17
Tb (0.213, 0.773, 0.427)  0.11
Tb (0.787, 0.227, 0.573)  0.11
Er (0.884, 0.739, 0.769)  0.01
Er (0.116, 0.261, 0.231)  0.01

space group	C2/m, No. 12
uncorrected energy	-32.83	eV per cell
M_tot	0.5	μB per cell
energy relative to the elements	-0.258	eV/atom


Here is Tb4ErSn2 after structural relaxation from Alexandria via LeMat-Bulk. Energies are from PBE-GGA.

Cell lengths 5.322, 5.322, 9.052 Å; angles 107.09, 107.09, 90.00 degrees
Fractional positions:
Sn (0.371, 0.371, 0.741)
Sn (0.629, 0.629, 0.259)
Tb (0.500, 0.000, 0.000)
Tb (0.000, 0.500, 0.000)
Tb (0.185, 0.185, 0.370)
Tb (0.815, 0.815, 0.630)
Er (0.000, 0.000, 0.000)

space group	I4/mmm, No. 139
uncorrected energy	-28.64	eV per cell
M_tot	0.0	μB per cell
energy relative to the elements	0.349	eV/atom